(1)
A relaxed K2AuF6 crystal, computed with PBE.

Cell lengths 6.4150, 7.8571, 7.6434 Å; angles 90.00, 119.32, 90.00 degrees
Fractional coordinates of all 18 atoms:
K1 0.1785 0.0622 0.2999
K2 0.1785 0.4378 0.7999
K3 0.8215 0.5622 0.2001
K4 0.8215 0.9378 0.7001
Au1 0.5000 0.0000 0.0000
Au2 0.5000 0.5000 0.5000
F1 0.1766 0.1359 0.9522
F2 0.1766 0.3641 0.4522
F3 0.3057 0.7100 0.4326
F4 0.3057 0.7900 0.9326
F5 0.4041 0.0297 0.7129
F6 0.4041 0.4703 0.2129
F7 0.5959 0.5297 0.7871
F8 0.5959 0.9703 0.2871
F9 0.6943 0.2100 0.0674
F10 0.6943 0.2900 0.5674
F11 0.8234 0.6359 0.5478
F12 0.8234 0.8641 0.0478

## Properties
* SG: No. 14
* density: 3.848 Mg/m³
* raw total energy: -66.94 eV for the cell shown


(2)
A relaxed PmZn12Pt4 crystal, computed with PBE.

Cell lengths 7.5581, 7.5581, 7.5581 Å; angles 109.47, 109.47, 109.47 degrees
Fractional coordinates of all 17 atoms:
Pm1 0.0000 0.0000 0.0000
Zn1 0.1520 0.3517 0.5037
Zn2 0.1520 0.6483 0.8004
Zn3 0.1996 0.8480 0.3517
Zn4 0.3517 0.1996 0.8480
Zn5 0.3517 0.5037 0.1520
Zn6 0.4963 0.8480 0.6483
Zn7 0.5037 0.1520 0.3517
Zn8 0.6483 0.4963 0.8480
Zn9 0.6483 0.8004 0.1520
Zn10 0.8004 0.1520 0.6483
Zn11 0.8480 0.3517 0.1996
Zn12 0.8480 0.6483 0.4963
Pt1 0.0000 0.0000 0.5000
Pt2 0.0000 0.5000 0.0000
Pt3 0.5000 0.0000 0.0000
Pt4 0.5000 0.5000 0.5000

## Properties
* SG: No. 204
* density: 8.545 Mg/m³
* formation energy: -0.122 eV per atom
* raw total energy: -46.27 eV for the cell shown


(3)
A relaxed DyNb3Fe8 crystal, computed with PBE.

Cell lengths 4.9054, 4.9054, 8.0270 Å; angles 90.00, 90.00, 120.00 degrees
Fractional coordinates of all 12 atoms:
Dy1 0.0000 0.0000 0.0000
Nb1 0.0000 0.0000 0.3848
Nb2 0.6667 0.3333 0.4956
Nb3 0.6667 0.3333 0.8617
Fe1 0.1660 0.3321 0.6809
Fe2 0.1660 0.8340 0.6809
Fe3 0.3333 0.6667 0.4375
Fe4 0.3333 0.6667 0.9348
Fe5 0.5018 0.0036 0.1932
Fe6 0.5018 0.4982 0.1932
Fe7 0.6679 0.8340 0.6809
Fe8 0.9964 0.4982 0.1932

## Properties
* SG: No. 156
* density: 8.815 Mg/m³
* formation energy: -0.079 eV per atom
* raw total energy: -103.46 eV for the cell shown


(4)
A relaxed Y2Al2InIr5 crystal, computed with PBE.

Cell lengths 9.8824, 9.8824, 3.5816 Å; angles 90.00, 90.00, 90.00 degrees
Fractional coordinates of all 20 atoms:
Y1 0.1768 0.3232 0.0000
Y2 0.3232 0.8232 0.0000
Y3 0.6768 0.1768 0.0000
Y4 0.8232 0.6768 0.0000
Al1 0.1215 0.6215 0.0000
Al2 0.3785 0.1215 0.0000
Al3 0.6215 0.8785 0.0000
Al4 0.8785 0.3785 0.0000
In1 0.0000 0.0000 0.0000
In2 0.5000 0.5000 0.0000
Ir1 0.0000 0.5000 0.5000
Ir2 0.0663 0.7882 0.5000
Ir3 0.2118 0.0663 0.5000
Ir4 0.2882 0.5663 0.5000
Ir5 0.4337 0.2882 0.5000
Ir6 0.5000 0.0000 0.5000
Ir7 0.5663 0.7118 0.5000
Ir8 0.7118 0.4337 0.5000
Ir9 0.7882 0.9337 0.5000
Ir10 0.9337 0.2118 0.5000

## Properties
* SG: No. 127
* density: 12.416 Mg/m³
* formation energy: -0.697 eV per atom
* raw total energy: -148.85 eV for the cell shown


(5)
A relaxed ScTlRu crystal, computed with PBE.

Cell lengths 4.5820, 4.5820, 3.1717 Å; angles 90.00, 90.00, 120.00 degrees
Fractional coordinates of all 3 atoms:
Sc1 0.0000 0.0000 0.0000
Tl1 0.6667 0.3333 0.4362
Ru1 0.3333 0.6667 0.7591

## Properties
* SG: No. 156
* density: 10.090 Mg/m³
* formation energy: -0.013 eV per atom
* raw total energy: -18.01 eV for the cell shown


(6)
A relaxed HgNF2 crystal, computed with PBE.

Cell lengths 5.8978, 5.8978, 5.8978 Å; angles 121.02, 121.02, 88.24 degrees
Fractional coordinates of all 8 atoms:
Hg1 0.3750 0.6250 0.7500
Hg2 0.6250 0.3750 0.2500
N1 0.1250 0.8750 0.2500
N2 0.8750 0.1250 0.7500
F1 0.0000 0.0000 0.0000
F2 0.0000 0.0000 0.5000
F3 0.0000 0.5000 0.0000
F4 0.5000 0.0000 0.5000

## Properties
* SG: No. 141
* density: 5.876 Mg/m³
* raw total energy: -19.81 eV for the cell shown


(7)
A relaxed TbCe5Bi5 crystal, computed with PBE.

Cell lengths 7.8575, 7.8575, 9.0806 Å; angles 106.96, 106.96, 48.42 degrees
Fractional coordinates of all 11 atoms:
Tb1 0.0000 0.0000 0.0000
Ce1 0.0000 0.0000 0.5000
Ce2 0.3339 0.3339 0.6640
Ce3 0.3377 0.3377 0.1739
Ce4 0.6623 0.6623 0.8261
Ce5 0.6661 0.6661 0.3360
Bi1 0.1652 0.1652 0.3305
Bi2 0.1686 0.1686 0.8369
Bi3 0.5000 0.5000 0.0000
Bi4 0.8314 0.8314 0.1631
Bi5 0.8348 0.8348 0.6695

## Properties
* SG: No. 12
* density: 7.958 Mg/m³
* formation energy: -0.579 eV per atom
* raw total energy: -60.07 eV for the cell shown


(8)
A relaxed Zn3Au crystal, computed with PBE.

Cell lengths 4.9950, 4.9950, 4.9950 Å; angles 90.00, 90.00, 90.00 degrees
Fractional coordinates of all 4 atoms:
Zn1 0.0000 0.0000 0.5000
Zn2 0.0000 0.5000 0.0000
Zn3 0.5000 0.0000 0.0000
Au1 0.0000 0.0000 0.0000

## Properties
* SG: No. 221
* density: 5.239 Mg/m³
* formation energy: 0.136 eV per atom
* raw total energy: -6.55 eV for the cell shown